Compound: Tb7Co2Ni2
Source: Alexandria
Functional: PBE
Structure: relaxed

**V**: 24.1 A^3/atom
**Calculated total energy**: -58.74 eV per formula unit
**E_form**: -0.051 eV/atom
**DOS(E_F)**: 9.36 states/eV/f.u.

The structure in POSCAR format:
```
Tb7Co2Ni2
1.0
3.6321 -5.4097 0.0000
3.6321 5.4097 0.0000
0.0000 0.0000 6.7392
Tb Co Ni
7 2 2
direct
0.0000 0.0000 0.0000
0.0000 0.5000 0.2628
0.0000 0.5000 0.7372
0.5000 0.0000 0.2628
0.5000 0.0000 0.7372
0.5000 0.5000 0.2566
0.5000 0.5000 0.7434
0.3000 0.7000 0.0000
0.7000 0.3000 0.0000
0.1703 0.1703 0.5000
0.8297 0.8297 0.5000
```